A plane-wave DFT calculation with PBE+U was carried out for a geometry-optimized SmMnO3 structure.

Lattice parameters (Å, degrees): 6.414 6.414 3.794 90.00 90.00 129.89
Sites, in units of the cell vectors:
Sm  0.151  0.849  0.000
Sm  0.849  0.151  0.000
Mn  0.381  0.619  0.500
Mn  0.619  0.381  0.500
O  0.000  0.500  0.500
O  0.223  0.223  0.500
O  0.354  0.646  0.000
O  0.500  0.000  0.500
O  0.646  0.354  0.000
O  0.777  0.777  0.500

Computed properties:
The volume comes out at 11.979 A^3/atom. The value obtained for the total energy is -77.22 eV/cell. For the magnetization, the calculation gives 4.00 μB per formula unit.